The following is a GGA-PBEsol calculation of a relaxed structure of ZrScZn2, from the Alexandria database.

## Properties
The density of states at the Fermi level is 1.0485 states/eV/atom. The density is 6.23 g/cm3. The calculation puts the magnetization at 0.00 μB per atom. Its formation energy is -0.335 eV per atom.

Unit cell a=3.2472 b=3.2472 c=6.7544 alpha=90.00 beta=90.00 gamma=90.00
Space group P4/mmm (No. 123)
Unique sites:
Zr: 0.0000 0.0000 0.0000 (multiplicity 1)
Sc: 0.0000 0.0000 0.5000 (multiplicity 1)
Zn: 0.5000 0.5000 0.2566 (multiplicity 2)



The following is a GGA-PBEsol calculation of a relaxed structure of ZrSc2Zn, from the Alexandria database.

## Properties
The density of states at the Fermi level is 0.9763 states/eV/atom. The density is 5.05 g/cm3. The calculation puts the magnetization at 0.00 μB per atom. Its formation energy is -0.132 eV per atom.

Unit cell a=3.3624 b=4.7779 c=10.1015 alpha=90.00 beta=90.00 gamma=90.00
Space group Immm (No. 71)
Unique sites:
Zr: 0.0000 0.0000 0.0000 (multiplicity 2)
Sc: 0.0000 0.5000 0.2200 (multiplicity 4)
Zn: 0.0000 0.0000 0.5000 (multiplicity 2)



The following is a GGA-PBEsol calculation of a relaxed structure of ZrSc2Zn, from the Alexandria database.

## Properties
The density of states at the Fermi level is 1.3822 states/eV/atom. The density is 4.97 g/cm3. The calculation puts the magnetization at 0.00 μB per atom. Its formation energy is -0.140 eV per atom.

Unit cell a=3.1936 b=3.1936 c=8.0744 alpha=90.00 beta=90.00 gamma=90.00
Space group P4mm (No. 99)
Unique sites:
Zr: 0.0000 0.0000 0.0000 (multiplicity 1)
Sc: 0.0000 0.0000 0.5612 (multiplicity 1)
Sc: 0.5000 0.5000 0.2649 (multiplicity 1)
Zn: 0.5000 0.5000 0.7742 (multiplicity 1)



The following is a GGA-PBEsol calculation of a relaxed structure of ZrSc2Zn, from the Alexandria database.

## Properties
The density of states at the Fermi level is 0.9992 states/eV/atom. The density is 5.02 g/cm3. The calculation puts the magnetization at 0.00 μB per atom. Its formation energy is -0.149 eV per atom.

Unit cell a=3.3341 b=4.7516 c=10.3002 alpha=90.00 beta=90.00 gamma=90.00
Space group Imm2 (No. 44)
Unique sites:
Zr: 0.0000 0.0000 0.0000 (multiplicity 2)
Sc: 0.0000 0.0000 0.5666 (multiplicity 2)
Sc: 0.0000 0.5000 0.7818 (multiplicity 2)
Zn: 0.0000 0.5000 0.2805 (multiplicity 2)